1.
! GGA-PBE CoNi12Sn4H3, relaxed; values from VASP
! E ... -5.148 eV per atom
&SYSTEM
  ibrav = 0, nat = 20, ntyp = 4
/
ATOMIC_SPECIES
Co 58.93 Co.upf
Ni 58.69 Ni.upf
Sn 118.71 Sn.upf
H 1.01 H.upf
CELL_PARAMETERS angstrom
-3.884 3.884 3.884
3.884 -3.884 3.884
3.884 3.884 -3.884
ATOMIC_POSITIONS crystal
Co 0.000 0.000 0.000
Ni 0.000 0.288 0.288
Ni 0.000 0.712 0.712
Ni 0.250 0.500 0.750
Ni 0.250 0.750 0.500
Ni 0.288 0.000 0.288
Ni 0.288 0.288 0.000
Ni 0.500 0.250 0.750
Ni 0.500 0.750 0.250
Ni 0.712 0.000 0.712
Ni 0.712 0.712 0.000
Ni 0.750 0.250 0.500
Ni 0.750 0.500 0.250
Sn 0.000 0.000 0.500
Sn 0.000 0.500 0.000
Sn 0.500 0.000 0.000
Sn 0.500 0.500 0.500
H 0.000 0.500 0.500
H 0.500 0.000 0.500
H 0.500 0.500 0.000

---

2.
! GGA-PBE CoNi2SnH, relaxed; values from VASP
! E ... -5.349 eV per atom
&SYSTEM
  ibrav = 0, nat = 5, ntyp = 4
/
ATOMIC_SPECIES
Co 58.93 Co.upf
Ni 58.69 Ni.upf
Sn 118.71 Sn.upf
H 1.01 H.upf
CELL_PARAMETERS angstrom
3.747 0.000 0.000
0.000 3.747 0.000
0.000 0.000 3.785
ATOMIC_POSITIONS crystal
Co 0.000 0.000 0.000
Ni 0.000 0.500 0.500
Ni 0.500 0.000 0.500
Sn 0.500 0.500 0.000
H 0.000 0.000 0.500

---

3.
! GGA-PBE SrCoNiH6, relaxed; values from VASP
! E ... -4.120 eV per atom
&SYSTEM
  ibrav = 0, nat = 9, ntyp = 4
/
ATOMIC_SPECIES
Sr 87.62 Sr.upf
Co 58.93 Co.upf
Ni 58.69 Ni.upf
H 1.01 H.upf
CELL_PARAMETERS angstrom
4.514 0.000 0.000
-2.257 3.909 0.000
0.000 0.000 4.564
ATOMIC_POSITIONS crystal
Sr 0.000 0.000 0.000
Co 0.667 0.333 0.500
Ni 0.333 0.667 0.500
H 0.504 0.008 0.281
H 0.504 0.008 0.719
H 0.504 0.496 0.281
H 0.504 0.496 0.719
H 0.992 0.496 0.281
H 0.992 0.496 0.719

---

4.
! GGA-PBE TaCo2NiH, relaxed; values from VASP
! E ... -7.184 eV per atom
! ΔE to the lowest computed polymorph ... 44.9 kJ/mol of formula units
&SYSTEM
  ibrav = 0, nat = 5, ntyp = 4
/
ATOMIC_SPECIES
Ta 180.95 Ta.upf
Co 58.93 Co.upf
Ni 58.69 Ni.upf
H 1.01 H.upf
CELL_PARAMETERS angstrom
3.641 0.000 0.000
0.000 3.641 0.000
0.000 0.000 3.864
ATOMIC_POSITIONS crystal
Ta 0.000 0.000 0.000
Co 0.000 0.500 0.500
Co 0.500 0.000 0.500
Ni 0.500 0.500 0.000
H 0.000 0.000 0.500

---

5.
! GGA-PBE TaCo2NiH, relaxed; values from VASP
! E ... -7.277 eV per atom
! ΔE to the lowest computed polymorph ... 0.0 kJ/mol of formula units
&SYSTEM
  ibrav = 0, nat = 5, ntyp = 4
/
ATOMIC_SPECIES
Ta 180.95 Ta.upf
Co 58.93 Co.upf
Ni 58.69 Ni.upf
H 1.01 H.upf
CELL_PARAMETERS angstrom
3.744 0.000 0.000
0.000 3.744 0.000
0.000 0.000 3.582
ATOMIC_POSITIONS crystal
Ta 0.000 0.000 0.000
Co 0.000 0.500 0.500
Co 0.500 0.000 0.500
Ni 0.500 0.500 0.000
H 0.500 0.500 0.500

---

6.
! GGA-PBE TbCoNi2H8, relaxed; values from VASP
! E ... -4.365 eV per atom
&SYSTEM
  ibrav = 0, nat = 12, ntyp = 4
/
ATOMIC_SPECIES
Tb 158.93 Tb.upf
Co 58.93 Co.upf
Ni 58.69 Ni.upf
H 1.01 H.upf
CELL_PARAMETERS angstrom
2.189 1.264 5.200
-2.189 1.264 5.200
0.000 -2.527 5.200
ATOMIC_POSITIONS crystal
Tb 0.000 0.000 0.000
Co 0.500 0.500 0.500
Ni 0.210 0.210 0.210
Ni 0.790 0.790 0.790
H 0.155 0.789 0.405
H 0.211 0.595 0.845
H 0.311 0.311 0.311
H 0.405 0.155 0.789
H 0.595 0.845 0.211
H 0.689 0.689 0.689
H 0.789 0.405 0.155
H 0.845 0.211 0.595

---

Which of these has the highest E? SrCoNiH6